1.
The following is a PBE with a Hubbard U calculation of RbErVO4 after structural relaxation, from Alexandria via LeMat-Bulk.

total DFT energy (no corrections)	-7.14	eV/atom
ρ	4.8	g/cm³

Structure (CIF):
```
data_RbErVO4
_cell_length_a 5.9106
_cell_length_b 5.9274
_cell_length_c 7.6895
_cell_angle_alpha 90.00
_cell_angle_beta 108.51
_cell_angle_gamma 90.00
_symmetry_space_group_name_H-M 'P 1 21/m 1'
_symmetry_Int_Tables_number 11
loop_
_symmetry_equiv_pos_as_xyz
'x,y,z'
'-x,-y,-z'
'-x,y+1/2,-z'
'x,-y+1/2,z'
loop_
_atom_site_label
_atom_site_fract_x
_atom_site_fract_y
_atom_site_fract_z
Rb1 0.2160 0.2500 0.4433
Er1 0.3223 0.2500 0.9620
V1 0.2145 0.7500 0.1475
O1 0.0106 0.7500 0.9274
O2 0.0324 0.7500 0.2931
O3 0.4520 0.5266 0.1642
```

***

2.
The following is a PBE with a Hubbard U calculation of RbErW2O8 after structural relaxation, from Alexandria via LeMat-Bulk.

total DFT energy (no corrections)	-7.40	eV/atom
ρ	7.4	g/cm³

Structure (CIF):
```
data_RbErW2O8
_cell_length_a 11.0361
_cell_length_b 10.6404
_cell_length_c 7.4794
_cell_angle_alpha 90.00
_cell_angle_beta 130.48
_cell_angle_gamma 90.00
_symmetry_space_group_name_H-M 'C 1 2/c 1'
_symmetry_Int_Tables_number 15
loop_
_symmetry_equiv_pos_as_xyz
'x,y,z'
'-x,-y,-z'
'-x,y,-z+1/2'
'x,-y,z+1/2'
'x+1/2,y+1/2,z'
'-x+1/2,-y+1/2,-z'
'-x+1/2,y+1/2,-z+1/2'
'x+1/2,-y+1/2,z+1/2'
loop_
_atom_site_label
_atom_site_fract_x
_atom_site_fract_y
_atom_site_fract_z
Rb1 0.0000 0.2041 0.2500
Er1 0.0000 0.2231 0.7500
W1 0.1951 0.4955 0.7122
O1 0.0139 0.3889 0.9595
O2 0.1398 0.0970 0.7017
O3 0.1871 0.4363 0.4392
O4 0.2030 0.1502 0.1190
```

***

3.
The following is a PBE with a Hubbard U calculation of Rb2ErWO6 after structural relaxation, from Alexandria via LeMat-Bulk.

total DFT energy (no corrections)	-6.42	eV/atom
ρ	4.7	g/cm³

Structure (CIF):
```
data_Rb2ErWO6
_cell_length_a 6.5859
_cell_length_b 6.5859
_cell_length_c 5.8452
_cell_angle_alpha 90.00
_cell_angle_beta 90.00
_cell_angle_gamma 120.00
_symmetry_space_group_name_H-M 'P -3 m 1'
_symmetry_Int_Tables_number 164
_symmetry_space_group_name_Hall '-P 3 2"'
loop_
_atom_site_label
_atom_site_fract_x
_atom_site_fract_y
_atom_site_fract_z
Rb1 0.3333 0.6667 0.3942
Er1 0.0000 0.0000 0.0000
W1 0.0000 0.0000 0.5000
O1 0.1337 0.2673 0.7101
```